1.
A relaxed Dy2TcB10 crystal, computed with GGA-PBE.

a = 5.7416 Å, b = 11.4127 Å, c = 4.1592 Å
α = 90.00°, β = 90.00°, γ = 90.00°
Last column: nearest neighbours and their distance in Å.
Space group Pbam (No. 55)
Inequivalent atoms, fractional coordinates:
Dy 0.2225 0.1323 0.0000 (multiplicity 4)  20 B 2.93-3.04, 2 Tc 3.02
Tc 0.0000 0.5000 0.5000 (multiplicity 2)  8 B 2.23-2.26
B 0.0629 0.3069 0.5000 (multiplicity 4)  4 B 1.66-1.78
B 0.1196 0.9590 0.5000 (multiplicity 4)  4 B 1.66-1.79
B 0.1281 0.8024 0.5000 (multiplicity 4)  5 B 1.66-1.79
B 0.2274 0.3807 0.1998 (multiplicity 8)  4 B 1.66-1.78

Summary:
Its calculated formation energy is -0.405 eV/atom. The calculation puts the density at 6.5 g/cm3. Its total energy is -183.219 eV per cell. As for the magnetic moment: 0.00 μB/f.u.

---

2.
A relaxed DyTcB2 crystal, computed with GGA-PBE.

a = 5.9628 Å, b = 5.2987 Å, c = 6.4432 Å
α = 90.00°, β = 90.00°, γ = 90.00°
Last column: nearest neighbours and their distance in Å.
Space group Pnma (No. 62)
Inequivalent atoms, fractional coordinates:
Dy 0.0138 0.2500 0.1603 (multiplicity 4)  6 B 2.64-2.72
Tc 0.1818 0.2500 0.6857 (multiplicity 4)  6 B 2.27-2.31
B 0.1288 0.5782 0.4637 (multiplicity 8)  2 B 1.81-1.82

Summary:
Its calculated formation energy is -0.571 eV/atom. The calculation puts the density at 9.2 g/cm3. Its total energy is -122.424 eV per cell. As for the magnetic moment: 0.00 μB/f.u.

---

- Number 2 is which compound?
  DyTcB2